A relaxed structure of Tb12NdAl3, computed with PBE-GGA.

Cell lengths 4.8159, 4.8159, 19.7287 Å; angles 90.00, 90.00, 90.00 degrees
Fractional coordinates of all 16 atoms:
Tb 0.0000 0.0000 0.0000
Tb 0.0000 0.0000 0.2411
Tb 0.0000 0.0000 0.5000
Tb 0.0000 0.0000 0.7589
Tb 0.0000 0.5000 0.1210
Tb 0.0000 0.5000 0.3634
Tb 0.0000 0.5000 0.6366
Tb 0.0000 0.5000 0.8790
Tb 0.5000 0.0000 0.1210
Tb 0.5000 0.0000 0.3634
Tb 0.5000 0.0000 0.6366
Tb 0.5000 0.0000 0.8790
Nd 0.5000 0.5000 0.5000
Al 0.5000 0.5000 0.0000
Al 0.5000 0.5000 0.2410
Al 0.5000 0.5000 0.7590

Output
Energy of formation ... -0.12 eV/atom
Calculated volume ... 457.6 Å³/f.u.
Magnetic moment ... 0.00 μB per atom
SG ... P4/mmm, No. 123
DOS at the Fermi energy ... 19.1 states/eV/f.u.